Computed, not measured: a relaxed structure of Tm5NiPb3 at the PBE level of DFT.

```
18
Lattice="-2.177 -1.483 8.670 8.706 0.469 -2.469 -0.038 6.521 1.106" Properties=species:S:1:pos:R:3 pbc="T T T"
Ni 6.529 -1.014 6.201
Ni -0.019 3.261 0.553
Pb -1.317 0.739 5.483
Pb 5.219 1.912 -1.206
Pb 2.598 1.225 2.754
Pb 7.808 4.768 1.824
Pb 1.272 3.595 8.513
Pb 3.892 4.282 4.554
Tm 1.450 -0.832 4.957
Tm 5.078 -0.182 1.244
Tm 4.967 0.857 5.004
Tm 8.179 1.747 -0.132
Tm -0.117 0.259 8.359
Tm 1.432 2.428 5.510
Tm 5.059 3.079 1.797
Tm -1.688 3.760 7.439
Tm 1.523 4.650 2.304
Tm 6.608 5.249 -1.052
```

Calculated values
Total energy in eV/atom: -4.844
Space group: P6_3/mcm